Entry 1:
A plane-wave DFT calculation with PBEsol was carried out for a relaxed Na2BPt2 crystal.

Calculated values
The calculation puts the final energy at -50.75 eV for the cell shown. As for the theoretical density: 9.34 g/cm³. The total moment is 0.00 μB/cell. The value obtained for the energy of formation is -327 meV per atom.

Unit cell a=5.6209 b=5.6209 c=5.0302 alpha=90.00 beta=90.00 gamma=90.00
Last column: nearest neighbours and their distance in Å.
Sites, in units of the cell vectors:
Na (0.1710, 0.3290, 0.0000)  5 Na 2.72-2.95, 2 Pt 2.83
Na (0.3290, 0.8290, 0.0000)  5 Na 2.72-2.95, 2 Pt 2.83
Na (0.6710, 0.1710, 0.0000)  5 Na 2.72-2.95, 2 Pt 2.83
Na (0.8290, 0.6710, 0.0000)  5 Na 2.72-2.95, 2 Pt 2.83
B (0.0000, 0.0000, 0.5000)  4 Pt 2.10
B (0.5000, 0.5000, 0.5000)  4 Pt 2.10
Pt (0.1653, 0.6653, 0.5000)  2 B 2.10
Pt (0.3347, 0.1653, 0.5000)  2 B 2.10
Pt (0.6653, 0.8347, 0.5000)  2 B 2.10
Pt (0.8347, 0.3347, 0.5000)  2 B 2.10

Entry 2:
A plane-wave DFT calculation with PBEsol was carried out for a relaxed YHfCdRh2 crystal.

Calculated values
The calculation puts the final energy at -33.23 eV for the cell shown. As for the theoretical density: 8.42 g/cm³. The total moment is 0.00 μB/cell. The value obtained for the energy of formation is 315 meV per atom.

Unit cell a=4.6875 b=4.6875 c=5.2558 alpha=90.00 beta=90.00 gamma=90.00
Last column: nearest neighbours and their distance in Å.
Sites, in units of the cell vectors:
Y (0.0000, 0.0000, 0.0000)  4 Cd 3.31, 8 Rh 3.52
Hf (0.5000, 0.5000, 0.5000)  4 Rh 2.34
Cd (0.5000, 0.5000, 0.0000)  2 Hf 2.63
Rh (0.0000, 0.5000, 0.5000)  2 Hf 2.34
Rh (0.5000, 0.0000, 0.5000)  2 Hf 2.34

Entry 3:
A plane-wave DFT calculation with PBEsol was carried out for a relaxed CoSiAg crystal.

Calculated values
The calculation puts the final energy at -16.58 eV for the cell shown. The calculation puts the energy above the most stable polymorph in this dataset at 88 meV/atom. As for the theoretical density: 8.10 g/cm³. The total moment is 0.86 μB/cell. For the uncorrected formation energy, the calculation gives 73 meV/atom.

Unit cell a=2.7522 b=2.7522 c=6.0944 alpha=90.00 beta=90.00 gamma=120.00
Last column: nearest neighbours and their distance in Å.
Sites, in units of the cell vectors:
Co (0.0000, 0.0000, 0.0000)  3 Si 2.27
Si (0.6667, 0.3333, 0.7347)  3 Co 2.27
Ag (0.3333, 0.6667, 0.3642)  3 Co 2.73, 6 Ag 2.75, 3 Si 2.76

Entry 4:
A plane-wave DFT calculation with PBEsol was carried out for a relaxed BaAu3 crystal.

Calculated values
The calculation puts the final energy at -15.76 eV for the cell shown. As for the theoretical density: 11.24 g/cm³. The total moment is 0.00 μB/cell. The value obtained for the energy of formation is -459 meV per atom.

Unit cell a=4.2184 b=4.7682 c=5.3505 alpha=90.00 beta=90.00 gamma=90.00
Last column: nearest neighbours and their distance in Å.
Sites, in units of the cell vectors:
Ba (0.0000, 0.0000, 0.0000)  12 Au 3.41-3.45
Au (0.5000, 0.0000, 0.5000)  4 Au 2.74
Au (0.5000, 0.5000, 0.2478)  4 Au 2.65-2.74
Au (0.5000, 0.5000, 0.7522)  4 Au 2.65-2.74